Density functional theory data (GGA-PBE) for crystalline CsYTeI2 at its relaxed geometry.

Values from the calculation:
Space group   P4/mmm (123)
ΔE_f (raw)   27.6 kJ/mol of atoms
Energy above the lowest structure with this stoichiometry   1638 meV per atom

Unit cell a=6.582 b=6.582 c=6.423 alpha=90.00 beta=90.00 gamma=90.00
Fractional positions:
Cs 0.000 0.000 0.000
Y 0.500 0.500 0.500
Te 0.000 0.000 0.500
I 0.000 0.500 0.000
I 0.500 0.000 0.000

***

Density functional theory data (GGA-PBE) for crystalline Li2ZrPb at its relaxed geometry.

Values from the calculation:
Space group   I-4m2 (119)
Formation energy   -0.0292 eV per atom

Unit cell a=4.882 b=4.882 c=4.882 alpha=120.08 beta=120.08 gamma=89.86
Fractional positions:
Li 0.000 0.000 0.000
Li 0.750 0.250 0.500
Zr 0.500 0.500 0.000
Pb 0.250 0.750 0.500